Entry 1:
# Gd2AlNiIr

A relaxed Gd2AlNiIr crystal (GGA-PBE, OQMD via LeMat-Bulk).

a = 5.5335 Å, b = 5.5335 Å, c = 5.5335 Å
α = 135.71°, β = 78.21°, γ = 119.24°
Fractional coordinates of all 5 atoms:
Gd (0.6966, 0.4969, 0.1996)
Al (0.9950, 0.9950, 0.0000)
Ir (0.2682, 0.7682, 0.5000)
Gd (0.2973, 0.4969, 0.8004)
Ni (0.7429, 0.2429, 0.5000)

## Properties
Crystal system: orthorhombic
E_tot, eV/atom: -6.214

Entry 2:
# Gd3Al2NiSnIr2

A relaxed Gd3Al2NiSnIr2 crystal (GGA-PBE, OQMD via LeMat-Bulk).

a = 4.0792 Å, b = 7.1150 Å, c = 7.1150 Å
α = 120.05°, β = 90.00°, γ = 90.00°
Fractional coordinates of all 9 atoms:
Ir (0.5000, 0.6801, 0.3368)
Gd (0.0000, 0.4150, 0.0021)
Al (0.5000, 0.7569, 0.9960)
Ir (0.5000, 0.3368, 0.6801)
Gd (0.0000, 0.0021, 0.4150)
Al (0.5000, 0.9960, 0.7569)
Gd (0.0000, 0.5919, 0.5919)
Sn (0.5000, 0.2346, 0.2346)
Ni (0.0000, 0.9866, 0.9866)

## Properties
Crystal system: orthorhombic
E_tot, eV/atom: -6.195

Entry 3:
# Gd2Al2Ir3Pd

A relaxed Gd2Al2Ir3Pd crystal (GGA-PBE, OQMD via LeMat-Bulk).

a = 4.2990 Å, b = 4.2990 Å, c = 9.3752 Å
α = 90.00°, β = 90.00°, γ = 120.00°
Fractional coordinates of all 8 atoms:
Al (0.6667, 0.3333, 0.0140)
Ir (0.3333, 0.6667, 0.4162)
Pd (0.0000, 0.0000, 0.9162)
Ir (0.0000, 0.0000, 0.5771)
Ir (0.3333, 0.6667, 0.0797)
Gd (0.0000, 0.0000, 0.2514)
Gd (0.3333, 0.6667, 0.7438)
Al (0.6667, 0.3333, 0.5016)

## Properties
Crystal system: trigonal
E_tot, eV/atom: -6.842

Entry 4:
# Gd2Al4IrPd

A relaxed Gd2Al4IrPd crystal (GGA-PBE, OQMD via LeMat-Bulk).

a = 4.2486 Å, b = 7.0630 Å, c = 5.5832 Å
α = 90.00°, β = 112.34°, γ = 90.00°
Fractional coordinates of all 8 atoms:
Al (0.1497, 0.6974, 0.7993)
Al (0.8495, 0.1930, 0.1991)
Gd (0.5676, 0.0000, 0.6350)
Al (0.1497, 0.3026, 0.7993)
Gd (0.4327, 0.5000, 0.3658)
Ir (0.2871, 0.0000, 0.0741)
Pd (0.7142, 0.5000, 0.9282)
Al (0.8495, 0.8070, 0.1991)

## Properties
Crystal system: orthorhombic
E_tot, eV/atom: -5.598

Entry 5:
# PrGdAlIr2

A relaxed PrGdAlIr2 crystal (GGA-PBE, OQMD via LeMat-Bulk).

a = 5.6890 Å, b = 5.6890 Å, c = 5.6890 Å
α = 137.23°, β = 117.83°, γ = 78.41°
Fractional coordinates of all 5 atoms:
Pr (0.3015, 0.8015, 0.5000)
Ir (0.7429, 0.5002, 0.2427)
Gd (0.6985, 0.1985, 0.5000)
Ir (0.2576, 0.5002, 0.7573)
Al (0.9996, 0.9996, 0.0000)

## Properties
Crystal system: orthorhombic
E_tot, eV/atom: -6.999

Entry 6:
# Gd2YAl3Si2Ir

A relaxed Gd2YAl3Si2Ir crystal (GGA-PBE, OQMD via LeMat-Bulk).

a = 4.2336 Å, b = 6.9515 Å, c = 6.9515 Å
α = 119.94°, β = 90.00°, γ = 90.00°
Fractional coordinates of all 9 atoms:
Gd (0.0000, 0.9996, 0.5839)
Si (0.5000, 0.3339, 0.6657)
Al (0.5000, 0.0003, 0.2319)
Gd (0.0000, 0.5839, 0.9996)
Al (0.5000, 0.7678, 0.7678)
Ir (0.0000, 0.0012, 0.0012)
Si (0.5000, 0.6657, 0.3339)
Al (0.5000, 0.2319, 0.0003)
Y (0.0000, 0.4156, 0.4156)

## Properties
Crystal system: orthorhombic
E_tot, eV/atom: -6.044

Entry 7:
# GdY2Al3Si2Ir

A relaxed GdY2Al3Si2Ir crystal (GGA-PBE, OQMD via LeMat-Bulk).

a = 4.2265 Å, b = 6.9402 Å, c = 6.9402 Å
α = 120.07°, β = 90.00°, γ = 90.00°
Fractional coordinates of all 9 atoms:
Gd (0.0000, 0.4165, 0.4165)
Y (0.0000, 0.0005, 0.5842)
Al (0.5000, 0.9996, 0.2322)
Si (0.5000, 0.6676, 0.3327)
Y (0.0000, 0.5842, 0.0005)
Al (0.5000, 0.7681, 0.7681)
Al (0.5000, 0.2322, 0.9996)
Si (0.5000, 0.3327, 0.6676)
Ir (0.0000, 0.9986, 0.9986)

## Properties
Crystal system: orthorhombic
E_tot, eV/atom: -6.252

Entry 8:
# TbGdAl2Ir4

A relaxed TbGdAl2Ir4 crystal (GGA-PBE, OQMD via LeMat-Bulk).

a = 4.3052 Å, b = 4.3052 Å, c = 9.2181 Å
α = 90.00°, β = 90.00°, γ = 120.00°
Fractional coordinates of all 8 atoms:
Tb (0.3333, 0.6667, 0.5000)
Ir (0.3333, 0.6667, 0.1684)
Ir (0.0000, 0.0000, 0.3320)
Gd (0.0000, 0.0000, 0.0000)
Al (0.6667, 0.3333, 0.2501)
Al (0.6667, 0.3333, 0.7499)
Ir (0.0000, 0.0000, 0.6680)
Ir (0.3333, 0.6667, 0.8316)

## Properties
Crystal system: hexagonal
E_tot, eV/atom: -7.209

Entry 9:
# GdTmAl2Ir4

A relaxed GdTmAl2Ir4 crystal (GGA-PBE, OQMD via LeMat-Bulk).

a = 4.2852 Å, b = 4.2852 Å, c = 9.1861 Å
α = 90.00°, β = 90.00°, γ = 120.00°
Fractional coordinates of all 8 atoms:
Al (0.6667, 0.3333, 0.7419)
Ir (0.0000, 0.0000, 0.3446)
Ir (0.3333, 0.6667, 0.1755)
Tm (0.3333, 0.6667, 0.5000)
Ir (0.3333, 0.6667, 0.8245)
Ir (0.0000, 0.0000, 0.6554)
Gd (0.0000, 0.0000, 0.0000)
Al (0.6667, 0.3333, 0.2581)

## Properties
Crystal system: hexagonal
E_tot, eV/atom: -7.221

Entry 10:
# KGdAl2

A relaxed KGdAl2 crystal (GGA-PBE, OQMD via LeMat-Bulk).

a = 4.2060 Å, b = 5.7965 Å, c = 10.1756 Å
α = 103.24°, β = 90.02°, γ = 90.06°
Fractional coordinates of all 8 atoms:
Gd (0.2506, 0.1712, 0.6453)
K (0.2500, 0.7419, 0.9561)
Al (0.2496, 0.2452, 0.3172)
Al (0.7504, 0.7547, 0.6828)
Al (0.2498, 0.6467, 0.5206)
K (0.7500, 0.2581, 0.0439)
Gd (0.7494, 0.8288, 0.3547)
Al (0.7502, 0.3533, 0.4794)

## Properties
Crystal system: triclinic
E_tot, eV/atom: -3.366

Entry 11:
# KGdAl

A relaxed KGdAl crystal (GGA-PBE, OQMD via LeMat-Bulk).

a = 5.1841 Å, b = 5.1841 Å, c = 5.1841 Å
α = 60.00°, β = 60.00°, γ = 60.00°
Fractional coordinates of all 3 atoms:
Gd (0.7500, 0.7500, 0.7500)
Al (0.2500, 0.2500, 0.2500)
K (0.0000, 0.0000, 0.0000)

## Properties
Crystal system: cubic
E_tot, eV/atom: -2.204

Entry 12:
# LaGdAl6

A relaxed LaGdAl6 crystal (GGA-PBE, OQMD via LeMat-Bulk).

a = 6.5377 Å, b = 6.5377 Å, c = 4.5813 Å
α = 90.00°, β = 90.00°, γ = 120.00°
Fractional coordinates of all 8 atoms:
Al (0.1898, 0.8102, 0.5000)
Al (0.6204, 0.8102, 0.5000)
Al (0.4735, 0.5265, 0.0000)
Al (0.4735, 0.9469, 0.0000)
Gd (0.0000, 0.0000, 0.0000)
Al (0.1898, 0.3796, 0.5000)
Al (0.0531, 0.5265, 0.0000)
La (0.6667, 0.3333, 0.5000)

## Properties
Crystal system: hexagonal
E_tot, eV/atom: -4.444